Crystalline LaTc2RhCl at its relaxed geometry, computed with GGA-PBE. Values from VASP.

```
&SYSTEM
  ibrav = 0, nat = 5, ntyp = 4
/
ATOMIC_SPECIES
La 138.91 La.upf
Tc 98.00 Tc.upf
Rh 102.91 Rh.upf
Cl 35.45 Cl.upf
CELL_PARAMETERS angstrom
4.9077 0.0000 0.0000
0.0000 4.9077 0.0000
0.0000 0.0000 5.3640
ATOMIC_POSITIONS crystal
La 0.0000 0.0000 0.0000
Tc 0.0000 0.5000 0.0000
Tc 0.5000 0.0000 0.0000
Rh 0.5000 0.5000 0.5000
Cl 0.0000 0.0000 0.5000
```

Results
* polymorph energy (0 for the lowest one): 1027 meV/atom
* D(E_F): 1.2667 states/eV per atom
* raw formation energy: 1736 meV per atom
* symmetry: P4/mmm

---

Crystalline PmInI at its relaxed geometry, computed with GGA-PBE. Values from VASP.

```
&SYSTEM
  ibrav = 0, nat = 6, ntyp = 3
/
ATOMIC_SPECIES
Pm 145.00 Pm.upf
In 114.82 In.upf
I 126.90 I.upf
CELL_PARAMETERS angstrom
3.9790 -2.2971 0.0000
3.9790 2.2971 0.0000
-0.1878 0.0000 12.1491
ATOMIC_POSITIONS crystal
Pm 0.0044 0.0044 0.1808
Pm 0.9956 0.9956 0.8192
In 0.3343 0.3343 0.0389
In 0.6657 0.6657 0.9611
I 0.3252 0.3252 0.6623
I 0.6748 0.6748 0.3377
```

Results
* D(E_F): 0.1619 states/eV per atom
* raw formation energy: -898 meV per atom
* symmetry: C2/m

---

Crystalline Y3GaAu at its relaxed geometry, computed with GGA-PBE. Values from VASP.

```
&SYSTEM
  ibrav = 0, nat = 5, ntyp = 3
/
ATOMIC_SPECIES
Y 88.91 Y.upf
Ga 69.72 Ga.upf
Au 196.97 Au.upf
CELL_PARAMETERS angstrom
5.4893 0.0000 0.0000
0.0000 5.4893 0.0000
0.0000 0.0000 5.4893
ATOMIC_POSITIONS crystal
Y 0.0000 0.0000 0.5000
Y 0.0000 0.5000 0.0000
Y 0.5000 0.0000 0.0000
Ga 0.5000 0.5000 0.5000
Au 0.0000 0.0000 0.0000
```

Results
* polymorph energy (0 for the lowest one): 0 meV/atom
* D(E_F): 2.0127 states/eV per atom
* formation energy from the elements: -0.021 eV per atom
* symmetry: Pm-3m

---

Crystalline CoGe2Pt at its relaxed geometry, computed with GGA-PBE. Values from VASP.

```
&SYSTEM
  ibrav = 0, nat = 4, ntyp = 3
/
ATOMIC_SPECIES
Co 58.93 Co.upf
Ge 72.64 Ge.upf
Pt 195.08 Pt.upf
CELL_PARAMETERS angstrom
1.9236 1.1106 4.8048
-1.9236 1.1106 4.8048
0.0000 -2.2212 4.8048
ATOMIC_POSITIONS crystal
Co 0.0000 0.0000 0.0000
Ge 0.4199 0.4199 0.4199
Ge 0.6158 0.6158 0.6158
Pt 0.1866 0.1866 0.1866
```

Results
* polymorph energy (0 for the lowest one): 0 meV/atom
* D(E_F): 0.6602 states/eV per atom
* formation energy from the elements: -0.149 eV per atom
* symmetry: R3m

---

Number 1: total energy -5.235 eV/atom, M_tot 5.29 μB per formula unit. Number 2: total energy -3.911 eV/atom, M_tot 0.00 μB per formula unit. Number 3: total energy -5.160 eV/atom, M_tot 0.00 μB per formula unit. Number 4: total energy -5.744 eV/atom, M_tot 0.00 μB per formula unit.